P | # ZrPtPb2 (PBEsol, relaxed)
# Calculated volume   21.2 Å³ per atom
data_ZrPtPb2
_symmetry_space_group_name_H-M 'P m m m'
_symmetry_Int_Tables_number 47
_cell_length_a 3.2402
_cell_length_b 3.8137
_cell_length_c 6.8495
_cell_angle_alpha 90.00
_cell_angle_beta 90.00
_cell_angle_gamma 90.00
loop_
_symmetry_equiv_pos_as_xyz
'x,y,z'
'-x,-y,-z'
'-x,-y,z'
'x,y,-z'
'x,-y,-z'
'-x,y,z'
'-x,y,-z'
'x,-y,z'
loop_
_atom_site_label
_atom_site_type_symbol
_atom_site_fract_x
_atom_site_fract_y
_atom_site_fract_z
Zr1 Zr 0.0000 0.0000 0.0000
Pt1 Pt 0.0000 0.0000 0.5000
Pb1 Pb 0.5000 0.5000 0.2666

---

Q | # ZrPtPb2 (PBEsol, relaxed)
# Calculated volume   21.9 Å³ per atom
data_ZrPtPb2
_symmetry_space_group_name_H-M 'P 1 2/m 1'
_symmetry_Int_Tables_number 10
_cell_length_a 3.3086
_cell_length_b 4.4729
_cell_length_c 5.9445
_cell_angle_alpha 90.00
_cell_angle_beta 96.09
_cell_angle_gamma 90.00
loop_
_symmetry_equiv_pos_as_xyz
'x,y,z'
'-x,-y,-z'
'-x,y,-z'
'x,-y,z'
loop_
_atom_site_label
_atom_site_type_symbol
_atom_site_fract_x
_atom_site_fract_y
_atom_site_fract_z
Zr1 Zr 0.0000 0.0000 0.0000
Pt1 Pt 0.5000 0.0000 0.5000
Pb1 Pb 0.3269 0.5000 0.7427

---

Tell me which of them is the most stable. Sure, it is Q.

---

P | # ReRuPb2 (PBEsol, relaxed)
# Calculated volume   19.0 Å³ per atom
data_ReRuPb2
_symmetry_space_group_name_H-M 'C 1 2/m 1'
_symmetry_Int_Tables_number 12
_cell_length_a 6.2774
_cell_length_b 8.8221
_cell_length_c 3.0784
_cell_angle_alpha 90.00
_cell_angle_beta 116.82
_cell_angle_gamma 90.00
loop_
_symmetry_equiv_pos_as_xyz
'x,y,z'
'-x,-y,-z'
'-x,y,-z'
'x,-y,z'
'x+1/2,y+1/2,z'
'-x+1/2,-y+1/2,-z'
'-x+1/2,y+1/2,-z'
'x+1/2,-y+1/2,z'
loop_
_atom_site_label
_atom_site_type_symbol
_atom_site_fract_x
_atom_site_fract_y
_atom_site_fract_z
Re1 Re 0.0000 0.0000 0.0000
Ru1 Ru 0.0000 0.5000 0.0000
Pb1 Pb 0.2500 0.2500 0.5000

---

Q | # ReRuPb2 (PBEsol, relaxed)
# Calculated volume   19.0 Å³ per atom
data_ReRuPb2
_symmetry_space_group_name_H-M 'C m m m'
_symmetry_Int_Tables_number 65
_symmetry_space_group_name_Hall '-C 2 2'
_cell_length_a 3.2788
_cell_length_b 5.2884
_cell_length_c 8.7587
_cell_angle_alpha 90.00
_cell_angle_beta 90.00
_cell_angle_gamma 90.00
loop_
_atom_site_label
_atom_site_type_symbol
_atom_site_fract_x
_atom_site_fract_y
_atom_site_fract_z
Re1 Re 0.0000 0.0000 0.0000
Ru1 Ru 0.0000 0.0000 0.5000
Pb1 Pb 0.0000 0.5000 0.2562

---

Tell me which of them is the most stable. Sure, it is Q.

---

P | # ScRePb2 (PBEsol, relaxed)
# Calculated volume   21.4 Å³ per atom
data_ScRePb2
_symmetry_space_group_name_H-M 'F -4 3 m'
_symmetry_Int_Tables_number 216
_symmetry_space_group_name_Hall 'F -4 2 3'
_cell_length_a 6.9953
_cell_length_b 6.9953
_cell_length_c 6.9953
_cell_angle_alpha 90.00
_cell_angle_beta 90.00
_cell_angle_gamma 90.00
loop_
_atom_site_label
_atom_site_type_symbol
_atom_site_fract_x
_atom_site_fract_y
_atom_site_fract_z
Sc1 Sc 0.0000 0.0000 0.0000
Re1 Re 0.2500 0.2500 0.7500
Pb1 Pb 0.0000 0.0000 0.5000
Pb2 Pb 0.2500 0.2500 0.2500

---

Q | # ScRePb2 (PBEsol, relaxed)
# Calculated volume   20.4 Å³ per atom
data_ScRePb2
_symmetry_space_group_name_H-M 'C m m m'
_symmetry_Int_Tables_number 65
_symmetry_space_group_name_Hall '-C 2 2'
_cell_length_a 6.3082
_cell_length_b 6.8697
_cell_length_c 3.7610
_cell_angle_alpha 90.00
_cell_angle_beta 90.00
_cell_angle_gamma 90.00
loop_
_atom_site_label
_atom_site_type_symbol
_atom_site_fract_x
_atom_site_fract_y
_atom_site_fract_z
Sc1 Sc 0.0000 0.0000 0.0000
Re1 Re 0.0000 0.5000 0.0000
Pb1 Pb 0.2500 0.2500 0.5000

---

R | # ScRePb2 (PBEsol, relaxed)
# Calculated volume   19.9 Å³ per atom
data_ScRePb2
_symmetry_space_group_name_H-M 'F m -3 m'
_symmetry_Int_Tables_number 225
_symmetry_space_group_name_Hall '-F 4 2 3'
_cell_length_a 6.8241
_cell_length_b 6.8241
_cell_length_c 6.8241
_cell_angle_alpha 90.00
_cell_angle_beta 90.00
_cell_angle_gamma 90.00
loop_
_atom_site_label
_atom_site_type_symbol
_atom_site_fract_x
_atom_site_fract_y
_atom_site_fract_z
Sc1 Sc 0.0000 0.0000 0.0000
Re1 Re 0.0000 0.0000 0.5000
Pb1 Pb 0.2500 0.2500 0.2500

---

Tell me which of them is the most stable. Sure, it is R.

---

P | # SrRePb2 (PBEsol, relaxed)
# Calculated volume   26.1 Å³ per atom
data_SrRePb2
_symmetry_space_group_name_H-M 'A m m 2'
_symmetry_Int_Tables_number 38
_cell_length_a 4.9228
_cell_length_b 3.8397
_cell_length_c 11.0280
_cell_angle_alpha 90.00
_cell_angle_beta 90.00
_cell_angle_gamma 90.00
loop_
_symmetry_equiv_pos_as_xyz
'x,y,z'
'-x,-y,z'
'-x,y,z'
'x,-y,z'
'x,y+1/2,z+1/2'
'-x,-y+1/2,z+1/2'
'-x,y+1/2,z+1/2'
'x,-y+1/2,z+1/2'
loop_
_atom_site_label
_atom_site_type_symbol
_atom_site_fract_x
_atom_site_fract_y
_atom_site_fract_z
Sr1 Sr 0.0000 0.0000 0.0000
Re1 Re 0.5000 0.0000 0.6156
Pb1 Pb 0.0000 0.0000 0.7228
Pb2 Pb 0.5000 0.0000 0.3298

---

Q | # SrRePb2 (PBEsol, relaxed)
# Calculated volume   25.5 Å³ per atom
data_SrRePb2
_symmetry_space_group_name_H-M 'R 3 m'
_symmetry_Int_Tables_number 160
_symmetry_space_group_name_Hall 'R 3 -2"'
_cell_length_a 3.3600
_cell_length_b 3.3600
_cell_length_c 31.2633
_cell_angle_alpha 90.00
_cell_angle_beta 90.00
_cell_angle_gamma 120.00
loop_
_atom_site_label
_atom_site_type_symbol
_atom_site_fract_x
_atom_site_fract_y
_atom_site_fract_z
Sr1 Sr 0.0000 0.0000 0.0000
Re1 Re 0.0000 0.0000 0.7422
Pb1 Pb 0.0000 0.0000 0.2352
Pb2 Pb 0.0000 0.0000 0.4746

---

Tell me which of them is the most stable. Sure, it is P.

---

P | # TaRePb2 (PBEsol, relaxed)
# Calculated volume   20.1 Å³ per atom
data_TaRePb2
_symmetry_space_group_name_H-M 'I m m m'
_symmetry_Int_Tables_number 71
_symmetry_space_group_name_Hall '-I 2 2'
_cell_length_a 3.2770
_cell_length_b 5.0972
_cell_length_c 9.6172
_cell_angle_alpha 90.00
_cell_angle_beta 90.00
_cell_angle_gamma 90.00
loop_
_atom_site_label
_atom_site_type_symbol
_atom_site_fract_x
_atom_site_fract_y
_atom_site_fract_z
Ta1 Ta 0.0000 0.0000 0.0000
Re1 Re 0.0000 0.0000 0.5000
Pb1 Pb 0.0000 0.5000 0.2352

---

Q | # TaRePb2 (PBEsol, relaxed)
# Calculated volume   19.3 Å³ per atom
data_TaRePb2
_symmetry_space_group_name_H-M 'P 4/m m m'
_symmetry_Int_Tables_number 123
_symmetry_space_group_name_Hall '-P 4 2'
_cell_length_a 4.7757
_cell_length_b 4.7757
_cell_length_c 3.3764
_cell_angle_alpha 90.00
_cell_angle_beta 90.00
_cell_angle_gamma 90.00
loop_
_atom_site_label
_atom_site_type_symbol
_atom_site_fract_x
_atom_site_fract_y
_atom_site_fract_z
Ta1 Ta 0.0000 0.0000 0.0000
Re1 Re 0.5000 0.5000 0.0000
Pb1 Pb 0.0000 0.5000 0.5000

---

Tell me which of them is the most stable. Sure, it is P.

---

P | # Re2TePb (PBEsol, relaxed)
# Calculated volume   17.7 Å³ per atom
data_Re2TePb
_symmetry_space_group_name_H-M 'F m -3 m'
_symmetry_Int_Tables_number 225
_symmetry_space_group_name_Hall '-F 4 2 3'
_cell_length_a 6.5727
_cell_length_b 6.5727
_cell_length_c 6.5727
_cell_angle_alpha 90.00
_cell_angle_beta 90.00
_cell_angle_gamma 90.00
loop_
_atom_site_label
_atom_site_type_symbol
_atom_site_fract_x
_atom_site_fract_y
_atom_site_fract_z
Re1 Re 0.2500 0.2500 0.2500
Te1 Te 0.0000 0.0000 0.0000
Pb1 Pb 0.0000 0.0000 0.5000

---

Q | # Re2TePb (PBEsol, relaxed)
# Calculated volume   19.0 Å³ per atom
data_Re2TePb
_symmetry_space_group_name_H-M 'C 1 2/m 1'
_symmetry_Int_Tables_number 12
_cell_length_a 8.7076
_cell_length_b 3.1081
_cell_length_c 5.7844
_cell_angle_alpha 90.00
_cell_angle_beta 103.44
_cell_angle_gamma 90.00
loop_
_symmetry_equiv_pos_as_xyz
'x,y,z'
'-x,-y,-z'
'-x,y,-z'
'x,-y,z'
'x+1/2,y+1/2,z'
'-x+1/2,-y+1/2,-z'
'-x+1/2,y+1/2,-z'
'x+1/2,-y+1/2,z'
loop_
_atom_site_label
_atom_site_type_symbol
_atom_site_fract_x
_atom_site_fract_y
_atom_site_fract_z
Re1 Re 0.2448 0.0000 0.2971
Te1 Te 0.0000 0.0000 0.5000
Pb1 Pb 0.0000 0.5000 0.0000

---

Tell me which of them is the most stable. Sure, it is Q.

---

P | # Tl2RePb (PBEsol, relaxed)
# Calculated volume   22.7 Å³ per atom
data_Tl2RePb
_symmetry_space_group_name_H-M 'P 1 2/m 1'
_symmetry_Int_Tables_number 10
_cell_length_a 3.3248
_cell_length_b 5.0208
_cell_length_c 5.6625
_cell_angle_alpha 90.00
_cell_angle_beta 105.70
_cell_angle_gamma 90.00
loop_
_symmetry_equiv_pos_as_xyz
'x,y,z'
'-x,-y,-z'
'-x,y,-z'
'x,-y,z'
loop_
_atom_site_label
_atom_site_type_symbol
_atom_site_fract_x
_atom_site_fract_y
_atom_site_fract_z
Tl1 Tl 0.1414 0.0000 0.2709
Re1 Re 0.5000 0.5000 0.5000
Pb1 Pb 0.5000 0.5000 0.0000

---

Q | # Tl2RePb (PBEsol, relaxed)
# Calculated volume   23.4 Å³ per atom
data_Tl2RePb
_symmetry_space_group_name_H-M 'P 4 m m'
_symmetry_Int_Tables_number 99
_cell_length_a 3.1870
_cell_length_b 3.1870
_cell_length_c 9.2024
_cell_angle_alpha 90.00
_cell_angle_beta 90.00
_cell_angle_gamma 90.00
loop_
_symmetry_equiv_pos_as_xyz
'x,y,z'
'-y,x,z'
'-x,-y,z'
'y,-x,z'
'-x,y,z'
'y,x,z'
'x,-y,z'
'-y,-x,z'
loop_
_atom_site_label
_atom_site_type_symbol
_atom_site_fract_x
_atom_site_fract_y
_atom_site_fract_z
Tl1 Tl 0.0000 0.0000 0.0000
Tl2 Tl 0.5000 0.5000 0.2855
Re1 Re 0.5000 0.5000 0.7991
Pb1 Pb 0.0000 0.0000 0.5987

---

Tell me which of them is the most stable. Sure, it is Q.

---

P | # Tl2RePb (PBEsol, relaxed)
# Calculated volume   24.9 Å³ per atom
data_Tl2RePb
_symmetry_space_group_name_H-M 'I m m m'
_symmetry_Int_Tables_number 71
_symmetry_space_group_name_Hall '-I 2 2'
_cell_length_a 3.0280
_cell_length_b 4.6574
_cell_length_c 14.1469
_cell_angle_alpha 90.00
_cell_angle_beta 90.00
_cell_angle_gamma 90.00
loop_
_atom_site_label
_atom_site_type_symbol
_atom_site_fract_x
_atom_site_fract_y
_atom_site_fract_z
Tl1 Tl 0.0000 0.0000 0.1857
Re1 Re 0.0000 0.5000 0.5000
Pb1 Pb 0.0000 0.5000 0.0000

---

Q | # Tl2RePb (PBEsol, relaxed)
# Calculated volume   22.0 Å³ per atom
data_Tl2RePb
_symmetry_space_group_name_H-M 'I 4/m m m'
_symmetry_Int_Tables_number 139
_symmetry_space_group_name_Hall '-I 4 2'
_cell_length_a 4.4001
_cell_length_b 4.4001
_cell_length_c 9.0996
_cell_angle_alpha 90.00
_cell_angle_beta 90.00
_cell_angle_gamma 90.00
loop_
_atom_site_label
_atom_site_type_symbol
_atom_site_fract_x
_atom_site_fract_y
_atom_site_fract_z
Tl1 Tl 0.0000 0.5000 0.2500
Re1 Re 0.0000 0.0000 0.0000
Pb1 Pb 0.0000 0.0000 0.5000

---

Tell me which of them is the most stable. Sure, it is P.